! CoHgCl2 PBE relaxed; values from VASP
&SYSTEM
  ibrav = 0, nat = 8, ntyp = 3
/
ATOMIC_SPECIES
Co 58.93 Co.upf
Hg 200.59 Hg.upf
Cl 35.45 Cl.upf
CELL_PARAMETERS angstrom
-3.5753 3.5753 4.6929
3.5753 -3.5753 4.6929
3.5753 3.5753 -4.6929
ATOMIC_POSITIONS angstrom
Co 0.0000 0.0000 0.0000
Co 0.0000 3.5753 2.3465
Hg 3.5753 0.0000 2.3465
Hg 0.0000 0.0000 4.6929
Cl -0.7606 1.7876 1.1732
Cl 1.7876 2.8147 3.5197
Cl 0.7606 5.3629 1.1732
Cl -1.7876 4.3359 3.5197
! Magnetic moment (Bohr magnetons per cell): 6.00
! Volume (Å³ per cell): 239.95
! D(E_F) (states/eV/f.u.): 0.86
! Raw formation energy (eV/atom): -0.31
! SG: I-42d (122)

=====

! Co2HgCl PBE relaxed; values from VASP
&SYSTEM
  ibrav = 0, nat = 4, ntyp = 3
/
ATOMIC_SPECIES
Co 58.93 Co.upf
Hg 200.59 Hg.upf
Cl 35.45 Cl.upf
CELL_PARAMETERS angstrom
2.9874 0.0000 0.0000
0.0000 2.9874 0.0000
0.0000 0.0000 6.7231
ATOMIC_POSITIONS angstrom
Co 0.0000 0.0000 1.4622
Co 0.0000 0.0000 5.2609
Hg 1.4937 1.4937 3.3615
Cl 1.4937 1.4937 0.0000
! Magnetic moment (Bohr magnetons per cell): 3.28
! Volume (Å³ per cell): 60.00
! D(E_F) (states/eV/f.u.): 7.10
! Raw formation energy (eV/atom): 0.57
! SG: P4/mmm (123)

=====

! Co2HgCl PBE relaxed; values from VASP
&SYSTEM
  ibrav = 0, nat = 4, ntyp = 3
/
ATOMIC_SPECIES
Co 58.93 Co.upf
Hg 200.59 Hg.upf
Cl 35.45 Cl.upf
CELL_PARAMETERS angstrom
5.8336 -1.5332 0.0000
5.8336 1.5332 0.0000
-0.0072 0.0000 4.6883
ATOMIC_POSITIONS angstrom
Co 0.0000 0.0000 0.0000
Co 7.4882 0.0000 0.0024
Hg 1.3557 0.0000 2.3459
Cl 4.0306 0.0000 0.0044
! Magnetic moment (Bohr magnetons per cell): 3.84
! Volume (Å³ per cell): 83.86
! D(E_F) (states/eV/f.u.): 3.47
! Raw formation energy (eV/atom): 0.23
! SG: Cm (8)

=====

! CoHgCl4 PBE relaxed; values from VASP
&SYSTEM
  ibrav = 0, nat = 12, ntyp = 3
/
ATOMIC_SPECIES
Co 58.93 Co.upf
Hg 200.59 Hg.upf
Cl 35.45 Cl.upf
CELL_PARAMETERS angstrom
6.3904 -3.5841 0.0000
6.3904 3.5841 0.0000
-1.0031 0.0000 6.4153
ATOMIC_POSITIONS angstrom
Co 5.6381 2.7015 4.8114
Co 6.1396 -2.7015 1.6038
Hg 3.1952 1.7921 0.0000
Hg 2.6936 -1.7921 3.2076
Cl 0.6999 0.6453 4.0662
Cl 1.2014 -0.6453 0.8585
Cl 4.2165 1.0193 5.2919
Cl 7.0596 1.0193 4.3310
Cl 4.7181 -1.0193 2.0843
Cl 7.5612 -1.0193 1.1234
Cl 10.5763 0.6453 5.5567
Cl 11.0778 -0.6453 2.3491
! Magnetic moment (Bohr magnetons per cell): 1.97
! Volume (Å³ per cell): 293.87
! D(E_F) (states/eV/f.u.): 2.13
! Raw formation energy (eV/atom): -0.48
! SG: C2/c (15)

=====

! Co2HgCl PBE relaxed; values from VASP
&SYSTEM
  ibrav = 0, nat = 8, ntyp = 3
/
ATOMIC_SPECIES
Co 58.93 Co.upf
Hg 200.59 Hg.upf
Cl 35.45 Cl.upf
CELL_PARAMETERS angstrom
-2.2809 2.2809 7.2840
2.2809 -2.2809 7.2840
2.2809 2.2809 -7.2840
ATOMIC_POSITIONS angstrom
Co 0.4849 1.1405 1.8210
Co -1.1405 1.7960 5.4630
Co -0.4849 3.4214 1.8210
Co 1.1405 2.7659 5.4630
Hg 2.2809 0.0000 3.6420
Hg 0.0000 0.0000 7.2840
Cl 0.0000 0.0000 0.0000
Cl 0.0000 2.2809 3.6420
! Magnetic moment (Bohr magnetons per cell): 6.00
! Volume (Å³ per cell): 151.59
! D(E_F) (states/eV/f.u.): 2.44
! Raw formation energy (eV/atom): 0.54
! SG: I-42d (122)

=====

! CoHg2Cl2 PBE relaxed; values from VASP
&SYSTEM
  ibrav = 0, nat = 10, ntyp = 3
/
ATOMIC_SPECIES
Co 58.93 Co.upf
Hg 200.59 Hg.upf
Cl 35.45 Cl.upf
CELL_PARAMETERS angstrom
7.1329 0.0000 0.0000
0.0000 7.1329 0.0000
0.0000 0.0000 4.6977
ATOMIC_POSITIONS angstrom
Co 0.0000 0.0000 0.0000
Co 3.5664 3.5664 0.0000
Hg 1.0108 2.5556 0.0000
Hg 2.5556 6.1221 0.0000
Hg 4.5772 1.0108 0.0000
Hg 6.1221 4.5772 0.0000
Cl 1.3558 4.9222 2.3489
Cl 2.2107 1.3558 2.3489
Cl 4.9222 5.7771 2.3489
Cl 5.7771 2.2107 2.3489
! Magnetic moment (Bohr magnetons per cell): 5.49
! Volume (Å³ per cell): 239.01
! D(E_F) (states/eV/f.u.): 13.41
! Raw formation energy (eV/atom): 0.36
! SG: P4/mbm (127)

=====

! CoHgCl3 PBE relaxed; values from VASP
&SYSTEM
  ibrav = 0, nat = 5, ntyp = 3
/
ATOMIC_SPECIES
Co 58.93 Co.upf
Hg 200.59 Hg.upf
Cl 35.45 Cl.upf
CELL_PARAMETERS angstrom
4.7659 0.0000 0.0000
0.0000 4.7659 0.0000
0.0000 0.0000 4.7659
ATOMIC_POSITIONS angstrom
Co 0.0000 0.0000 0.0000
Hg 2.3829 2.3829 2.3829
Cl 0.0000 0.0000 2.3829
Cl 0.0000 2.3829 0.0000
Cl 2.3829 0.0000 0.0000
! Magnetic moment (Bohr magnetons per cell): 2.25
! Volume (Å³ per cell): 108.25
! D(E_F) (states/eV/f.u.): 7.88
! Raw formation energy (eV/atom): -0.25
! SG: Pm-3m (221)

=====

! CoHgCl2 PBE relaxed; values from VASP
&SYSTEM
  ibrav = 0, nat = 4, ntyp = 3
/
ATOMIC_SPECIES
Co 58.93 Co.upf
Hg 200.59 Hg.upf
Cl 35.45 Cl.upf
CELL_PARAMETERS angstrom
1.7390 1.0040 9.6754
-1.7390 1.0040 9.6754
0.0000 -2.0080 9.6754
ATOMIC_POSITIONS angstrom
Co 0.0000 0.0000 0.0000
Hg 0.0000 0.0000 14.5131
Cl 0.0000 0.0000 8.3112
Cl 0.0000 0.0000 20.7150
! Magnetic moment (Bohr magnetons per cell): 2.90
! Volume (Å³ per cell): 101.36
! D(E_F) (states/eV/f.u.): 4.68
! Raw formation energy (eV/atom): -0.39
! SG: R-3m (166)

=====

> Among the records above, which one has the highest D(E_F)?

CoHg2Cl2